[1]
Here is crystalline Sr3HfTi at its relaxed geometry from Alexandria. Energies are from PBE.

Values from the calculation:
Its formation energy is 1.384 eV/atom. As for the space-group type: Pm-3m (221). The value obtained for the energy above the lowest structure with this stoichiometry is 34.8 meV per atom.

Cell: 6.1449 6.1449 6.1449 Å, 90.00 90.00 90.00°
With the nearest neighbours (Å) after each atom.
Fractional coordinates of all 5 atoms:
1 Sr 0.0000 0.5000 0.0000  2 Hf 3.07
2 Sr 0.0000 0.0000 0.5000  2 Hf 3.07
3 Sr 0.5000 0.0000 0.0000  2 Hf 3.07
4 Hf 0.0000 0.0000 0.0000  6 Sr 3.07
5 Ti 0.5000 0.5000 0.5000  12 Sr 4.35

=====

[2]
Here is crystalline CrReB at its relaxed geometry from Alexandria. Energies are from PBE.

Values from the calculation:
Its formation energy is -0.288 eV/atom. As for the space-group type: Cm (8). The value obtained for the energy above the lowest structure with this stoichiometry is 40.2 meV per atom.

Cell: 6.2179 2.9625 8.6576 Å, 90.00 126.42 90.00°
With the nearest neighbours (Å) after each atom.
Fractional coordinates of all 12 atoms:
1 Re 0.0602 0.0000 0.1625  5 B 2.27-2.50
2 Re 0.0602 0.5000 0.6625  5 B 2.27-2.50
3 Re 0.5028 0.0000 0.9206  3 B 2.20-2.45
4 Re 0.5028 0.5000 0.4206  3 B 2.20-2.45
5 B 0.7679 0.0000 0.6434  1 B 1.81
6 B 0.7679 0.5000 0.1434  1 B 1.81
7 B 0.0804 0.0000 0.8830  1 B 1.81
8 B 0.0804 0.5000 0.3830  1 B 1.81
9 Cr 0.7867 0.0000 0.3330  4 B 2.16-2.19
10 Cr 0.7867 0.5000 0.8330  4 B 2.16-2.19
11 Cr 0.3502 0.0000 0.5804  3 B 2.13-2.32
12 Cr 0.3502 0.5000 0.0804  3 B 2.13-2.32

=====

[3]
Here is crystalline BeCd2Hg at its relaxed geometry from Alexandria. Energies are from PBE.

Values from the calculation:
Its formation energy is 0.390 eV/atom. As for the space-group type: I-4m2 (119). The value obtained for the energy above the lowest structure with this stoichiometry is 182.2 meV per atom.

Cell: 5.2152 5.2152 5.2152 Å, 131.65 131.65 70.78°
With the nearest neighbours (Å) after each atom.
Fractional coordinates of all 4 atoms:
1 Be 0.7500 0.2500 0.5000  8 Cd 3.01-3.02, 4 Hg 3.01
2 Hg 0.5000 0.5000 0.0000  8 Cd 3.01-3.02, 4 Be 3.01
3 Cd 0.0000 0.0000 0.0000  4 Be 3.01, 4 Cd 3.01, 4 Hg 3.02
4 Cd 0.2500 0.7500 0.5000  4 Hg 3.01, 4 Cd 3.01, 4 Be 3.02

=====

[4]
Here is crystalline Hg2SbPI at its relaxed geometry from Alexandria. Energies are from PBE.

Values from the calculation:
As for the space-group type: P4/mmm (123). As for the formation energy without anion corrections: 0.381 eV/atom.

Cell: 5.7424 5.1635 5.7424 Å, 90.00 90.00 90.00°
With the nearest neighbours (Å) after each atom.
Fractional coordinates of all 5 atoms:
1 I 0.5000 0.5000 0.5000  8 Hg 3.86, 4 P 4.06
2 Sb 0.0000 0.0000 0.0000  2 P 2.58, 4 Hg 2.87
3 Hg 0.0000 0.0000 0.5000  2 Sb 2.87
4 Hg 0.5000 0.0000 0.0000  2 Sb 2.87
5 P 0.0000 0.5000 0.0000  2 Sb 2.58

=====

[5]
Here is crystalline NbCOF2 at its relaxed geometry from Alexandria. Energies are from PBE.

Values from the calculation:
As for the space-group type: P4/mmm (123). The value obtained for the energy above the lowest structure with this stoichiometry is 0.0 meV per atom. As for the formation energy without anion corrections: -0.588 eV/atom.

Cell: 4.1596 4.1596 3.9148 Å, 90.00 90.00 90.00°
With the nearest neighbours (Å) after each atom.
Fractional coordinates of all 5 atoms:
1 Nb 0.0000 0.0000 0.0000  2 O 1.96, 4 F 2.08
2 C 0.5000 0.5000 0.5000  8 F 2.86, 4 O 2.94
3 O 0.0000 0.0000 0.5000  2 Nb 1.96
4 F 0.0000 0.5000 0.0000  2 Nb 2.08
5 F 0.5000 0.0000 0.0000  2 Nb 2.08

=====

[6]
Here is crystalline CrSnHIr2 at its relaxed geometry from Alexandria. Energies are from PBE.

Values from the calculation:
As for the space-group type: P4/mmm (123).

Cell: 4.0749 4.0749 3.9213 Å, 90.00 90.00 90.00°
With the nearest neighbours (Å) after each atom.
Fractional coordinates of all 5 atoms:
1 Cr 0.0000 0.0000 0.5000  2 H 1.96
2 Ir 0.0000 0.5000 0.0000  2 H 2.04
3 Ir 0.5000 0.0000 0.0000  2 H 2.04
4 Sn 0.5000 0.5000 0.5000  8 Ir 2.83, 4 Cr 2.88
5 H 0.0000 0.0000 0.0000  2 Cr 1.96, 4 Ir 2.04

=====

[7]
Here is crystalline KIn2Ni at its relaxed geometry from Alexandria. Energies are from PBE.

Values from the calculation:
Its formation energy is -0.006 eV/atom. As for the space-group type: P2/m (10).

Cell: 3.3013 3.2980 9.4044 Å, 69.35 90.00 90.00°
With the nearest neighbours (Å) after each atom.
Fractional coordinates of all 4 atoms:
1 In 0.0000 0.0740 0.9254  4 Ni 2.80, 1 In 3.09
2 In 0.0000 0.4260 0.5746  4 Ni 2.80, 1 In 3.09
3 K 0.5000 0.2500 0.2500  4 K 3.30, 8 In 3.68-3.69
4 Ni 0.5000 0.7500 0.7500  8 In 2.80

=====

[8]
Here is crystalline CaPr5Ag6 at its relaxed geometry from Alexandria. Energies are from PBE.

Values from the calculation:
Its formation energy is -0.261 eV/atom. As for the space-group type: Cmmm (65).

Cell: 5.3459 7.5107 8.4521 Å, 90.00 71.56 89.99°
With the nearest neighbours (Å) after each atom.
Fractional coordinates of all 12 atoms:
1 Pr 0.6668 0.5000 0.6664  8 Ag 3.26-3.28
2 Pr 0.3356 0.0000 0.3288  8 Ag 3.25-3.28
3 Pr 0.0000 0.5000 0.0000  8 Ag 3.26-3.28
4 Pr 0.6644 0.0000 0.6712  8 Ag 3.25-3.28
5 Pr 0.3332 0.5000 0.3336  8 Ag 3.26-3.28
6 Ca 0.0000 0.0000 0.0000  8 Ag 3.27-3.28
7 Ag 0.8326 0.7518 0.3348  7 Pr 3.26-3.28, 1 Ca 3.27
8 Ag 0.8325 0.2482 0.3348  7 Pr 3.26-3.28, 1 Ca 3.27
9 Ag 0.5001 0.2526 0.0000  6 Pr 3.25-3.26, 2 Ca 3.28
10 Ag 0.4999 0.7474 0.0000  6 Pr 3.25-3.26, 2 Ca 3.28
11 Ag 0.1675 0.7518 0.6652  7 Pr 3.26-3.28, 1 Ca 3.27
12 Ag 0.1674 0.2482 0.6652  7 Pr 3.26-3.28, 1 Ca 3.27

=====

For each record above, in turn, the calculated raw total energy values are -3.195; -9.871; -1.075; -1.957; -6.187; -6.984; -3.095; -3.845 eV per atom.
For each record above, in turn, the calculated D(E_F) values are 7.77; 7.35; 1.22; 2.17; 5.34; 1.09; 2.24; 11.11 states/eV/cell.